Entry 1:
MgPtW2 | GGA-PBE | optimized geometry

The value obtained for the formation energy is 105 meV/atom. Its calculated volume is 16.07 Å³/atom. As for the calculated total energy: -8.280 eV per atom. As for the crystal system: cubic.

abc: 4.4967 4.4967 4.4967
angles: 60.00 60.00 60.00
Fractional coordinates of all 4 atoms:
1 W 0.2500 0.2500 0.2500
2 Mg 0.5000 0.5000 0.5000
3 W 0.0000 0.0000 0.0000
4 Pt 0.7500 0.7500 0.7500


Entry 2:
KAl2Se | GGA-PBE | optimized geometry

Its calculated volume is 30.25 Å³/atom. As for the calculated total energy: -3.039 eV per atom. As for the crystal system: orthorhombic.

abc: 6.2742 6.2742 6.2742
angles: 146.98 113.58 76.21
Fractional coordinates of all 4 atoms:
1 Al 0.0236 0.0236 0.0000
2 Se 0.1917 0.6917 0.5000
3 K 0.4783 0.4783 0.0000
4 Al 0.8064 0.3064 0.5000